1.
Below is a relaxed structure of TlCr2S3, with properties calculated at the PBE-GGA level.

```
TlCr2S3
1.0
3.555 0.000 0.000
-1.777 7.356 0.000
0.000 0.000 9.254
Tl Cr S
2 4 6
Cartesian
0.000 3.595 2.314
1.777 3.761 6.941
0.000 0.000 0.000
0.000 0.000 4.627
1.777 0.400 2.314
0.000 6.956 6.941
1.777 1.604 0.427
0.000 0.966 6.941
1.777 1.604 4.200
1.777 6.390 2.314
0.000 5.752 8.827
0.000 5.752 5.054
```

formation energy without anion corrections = -3.35 eV per formula unit
E_tot = -74.700 eV per cell
V = 20.166 Å³ per atom



2.
Below is a relaxed structure of Tl2CrS, with properties calculated at the PBE-GGA level.

```
Tl2CrS
1.0
-2.929 -3.398 2.108
-2.316 1.025 4.260
-4.912 0.654 0.055
Cr Tl S
1 2 1
Cartesian
-5.079 -0.860 3.212
-2.539 -0.430 1.606
-7.618 -1.289 4.817
0.000 0.000 0.000
```

formation energy without anion corrections = 4.28 eV per formula unit
E_tot = -14.205 eV per cell
V = 21.521 Å³ per atom
ΔE to the lowest computed polymorph = 753 meV per atom